# 1
# RePS2N

A relaxed RePS2N crystal (PBE, Alexandria).

```
5
Lattice="-3.646 0.393 2.799 -0.004 -4.569 0.637 1.927 0.341 2.463" Properties=species:S:1:pos:R:3 pbc="T T T"
Re -0.862 -1.917 2.949
S -0.002 -2.285 0.318
S -1.823 0.197 1.399
N 0.964 0.171 1.232
P 0.000 0.000 0.000
```

Output
Density = 7.324 g cm⁻³
Raw formation energy = 1.02 eV per atom
Size of the total moment = 0.232 μB per atom
SG = P4/mmm

---

# 2
# RePS2N

A relaxed RePS2N crystal (PBE, Alexandria).

```
5
Lattice="-1.448 -1.867 3.910 4.304 -1.094 1.071 0.523 4.224 2.211" Properties=species:S:1:pos:R:3 pbc="T T T"
Re 0.000 0.000 0.000
S 2.152 -0.547 0.536
S -0.724 -0.934 1.955
N 1.690 0.631 3.596
P 0.261 2.112 1.105
```

Output
Density = 4.899 g cm⁻³
Raw formation energy = 1.41 eV per atom
Size of the total moment = 0.382 μB per atom
SG = P4/mmm

---

# 3
# RePS2N

A relaxed RePS2N crystal (PBE, Alexandria).

```
5
Lattice="-2.171 -0.270 3.399 0.015 -4.030 -0.310 3.246 -0.146 2.062" Properties=species:S:1:pos:R:3 pbc="T T T"
Re 0.545 -2.223 2.576
S 0.008 -2.015 -0.155
S -1.086 -0.135 1.700
N 0.000 0.000 0.000
P 1.623 -0.073 1.031
```

Output
Density = 7.798 g cm⁻³
Raw formation energy = 1.25 eV per atom
Size of the total moment = 0.000 μB per atom
SG = P4/mmm

---

# 4
# RePS2N

A relaxed RePS2N crystal (PBE, Alexandria).

```
5
Lattice="4.757 0.000 0.000 0.000 4.757 0.000 0.000 0.000 3.719" Properties=species:S:1:pos:R:3 pbc="T T T"
Re 0.000 0.000 0.000
S 0.000 2.378 0.000
S 2.378 0.000 0.000
N 0.000 0.000 1.859
P 2.378 2.378 1.859
```

Output
Density = 5.828 g cm⁻³
Raw formation energy = 0.67 eV per atom
Size of the total moment = 0.000 μB per atom
SG = P4/mmm

---

# 5
# RePSe2N

A relaxed RePSe2N crystal (PBE, Alexandria).

```
5
Lattice="-1.844 -1.192 4.499 3.173 -3.862 0.278 2.531 2.195 1.619" Properties=species:S:1:pos:R:3 pbc="T T T"
Re 0.000 0.000 0.000
N 1.265 1.098 0.810
Se 1.586 -1.931 0.139
Se -0.922 -0.596 2.249
P 1.930 -1.429 3.198
```

Output
Density = 6.929 g cm⁻³
Raw formation energy = 0.64 eV per atom
Size of the total moment = 0.000 μB per atom
SG = P4/mmm

---

# 6
# RePSeN2

A relaxed RePSeN2 crystal (PBE, Alexandria).

```
5
Lattice="-3.358 0.539 -1.733 -0.347 -3.769 -0.499 -2.577 -0.408 4.868" Properties=species:S:1:pos:R:3 pbc="T T T"
Re 0.000 0.000 0.000
N -0.173 -1.884 -0.250
N -1.679 0.269 -0.866
Se -1.289 -0.204 2.434
P -3.141 -1.819 1.318
```

Output
Density = 6.688 g cm⁻³
Raw formation energy = 0.75 eV per atom
Size of the total moment = 0.235 μB per atom
SG = P4/mmm

---

# 7
# RePSeN2

A relaxed RePSeN2 crystal (PBE, Alexandria).

```
5
Lattice="3.413 0.000 0.000 0.000 3.413 0.000 0.000 0.000 6.833" Properties=species:S:1:pos:R:3 pbc="T T T"
Re 1.707 1.707 3.416
N 0.000 1.707 0.000
N 1.707 0.000 0.000
Se 0.000 0.000 3.416
P 0.000 0.000 0.000
```

Output
Density = 6.762 g cm⁻³
Raw formation energy = 1.44 eV per atom
Size of the total moment = 0.419 μB per atom
SG = P4/mmm

---

# 8
# RePSe2N

A relaxed RePSe2N crystal (PBE, Alexandria).

```
5
Lattice="4.906 0.000 0.000 0.000 4.906 0.000 0.000 0.000 3.184" Properties=species:S:1:pos:R:3 pbc="T T T"
Re 2.453 2.453 1.592
N 0.000 0.000 1.592
Se 0.000 2.453 0.000
Se 2.453 0.000 0.000
P 0.000 0.000 0.000
```

Output
Density = 8.430 g cm⁻³
Raw formation energy = 1.05 eV per atom
Size of the total moment = 0.226 μB per atom
SG = P4/mmm

---

# 9
# ReTcP2N

A relaxed ReTcP2N crystal (PBE, Alexandria).

```
5
Lattice="4.153 0.000 0.000 0.000 3.753 0.000 0.000 0.000 4.153" Properties=species:S:1:pos:R:3 pbc="T T T"
Re 2.076 1.877 2.076
N 0.000 0.000 0.000
Tc 0.000 1.877 0.000
P 0.000 0.000 2.076
P 2.076 0.000 0.000
```

Output
Density = 9.240 g cm⁻³
Raw formation energy = 0.85 eV per atom
Size of the total moment = 0.062 μB per atom
SG = P4/mmm

---

# 10
# Re2PWN

A relaxed Re2PWN crystal (PBE, Alexandria).

```
5
Lattice="4.690 0.000 0.000 0.000 3.240 0.000 0.000 0.000 4.690" Properties=species:S:1:pos:R:3 pbc="T T T"
Re 0.000 0.000 2.345
Re 2.345 0.000 0.000
N 0.000 1.620 0.000
W 2.345 1.620 2.345
P 0.000 0.000 0.000
```

Output
Density = 14.007 g cm⁻³
Raw formation energy = 1.33 eV per atom
Size of the total moment = 0.000 μB per atom
SG = P4/mmm

---

# 11
# PRhN3

A relaxed PRhN3 crystal (PBE, Alexandria).

```
5
Lattice="-1.913 2.701 -1.112 -2.133 -2.200 -1.673 -1.995 -0.237 2.855" Properties=species:S:1:pos:R:3 pbc="T T T"
P 0.000 0.000 0.000
Rh -3.021 0.132 0.035
N -1.067 -1.100 -0.837
N -0.998 -0.119 1.428
N -0.956 1.350 -0.556
```

Output
Density = 6.863 g cm⁻³
Raw formation energy = 1.09 eV per atom
Size of the total moment = 0.000 μB per atom
SG = Pm-3m

---

# 12
# PRhN2

A relaxed PRhN2 crystal (PBE, Alexandria).

```
4
Lattice="0.189 5.883 2.044 0.808 4.472 4.264 2.725 5.042 2.446" Properties=species:S:1:pos:R:3 pbc="T T T"
P 1.861 7.699 4.377
Rh 0.000 0.000 0.000
N 3.298 13.642 7.756
N 0.424 1.756 0.998
```

Output
Density = 7.047 g cm⁻³
Raw formation energy = -0.01 eV per atom
Size of the total moment = 0.000 μB per atom
SG = R-3m

---

# 13
# PRh2N2

A relaxed PRh2N2 crystal (PBE, Alexandria).

```
5
Lattice="-0.336 -3.029 -3.185 -1.153 -3.022 2.995 -3.698 -2.286 -0.486" Properties=species:S:1:pos:R:3 pbc="T T T"
P 0.000 0.000 0.000
Rh -2.389 -4.170 -1.883
Rh -2.797 -4.167 1.207
N -2.115 -2.682 -0.277
N -3.071 -5.654 -0.400
```

Output
Density = 7.372 g cm⁻³
Raw formation energy = 0.79 eV per atom
Size of the total moment = 0.000 μB per atom
SG = I4/mmm

---

# 14
# PRh2N2

A relaxed PRh2N2 crystal (PBE, Alexandria).

```
10
Lattice="6.333 0.000 0.000 0.000 6.333 0.000 0.000 0.000 2.904" Properties=species:S:1:pos:R:3 pbc="T T T"
P 0.000 0.000 0.000
P 3.166 3.166 0.000
Rh 1.255 4.422 1.452
Rh 4.422 5.078 1.452
Rh 5.078 1.911 1.452
Rh 1.911 1.255 1.452
N 2.238 5.405 0.000
N 5.405 4.095 0.000
N 4.095 0.928 0.000
N 0.928 2.238 0.000
```

Output
Density = 7.550 g cm⁻³
Raw formation energy = 1.07 eV per atom
Size of the total moment = 0.000 μB per atom
SG = P4/mbm

---

# 15
# PRhN3

A relaxed PRhN3 crystal (PBE, Alexandria).

```
5
Lattice="-3.648 -0.679 -1.046 -0.743 -1.413 3.509 -1.002 3.522 1.207" Properties=species:S:1:pos:R:3 pbc="T T T"
P -2.696 0.715 1.835
Rh 0.000 0.000 0.000
N -0.371 -0.707 1.755
N -0.501 1.761 0.603
N -1.824 -0.340 -0.523
```

Output
Density = 5.098 g cm⁻³
Raw formation energy = 1.96 eV per atom
Size of the total moment = 0.000 μB per atom
SG = Pm-3m

---

# 16
# PRhN2

A relaxed PRhN2 crystal (PBE, Alexandria).

```
8
Lattice="-1.805 -1.108 4.093 -0.907 -4.244 -1.549 2.149 -3.871 2.494" Properties=species:S:1:pos:R:3 pbc="T T T"
P -1.356 -2.676 1.272
P -0.057 -5.396 1.108
Rh 0.000 0.000 0.000
Rh -0.506 -3.828 3.929
N -0.530 -2.084 2.594
N -0.429 -3.866 0.561
N 0.507 -5.319 2.675
N -0.674 -7.178 4.245
```

Output
Density = 6.494 g cm⁻³
Raw formation energy = 0.25 eV per atom
Size of the total moment = 0.006 μB per atom
SG = I-42d

---

# 17
# PRhS2N

A relaxed PRhS2N crystal (PBE, Alexandria).

```
5
Lattice="4.636 0.000 0.000 0.000 4.636 0.000 0.000 0.000 3.151" Properties=species:S:1:pos:R:3 pbc="T T T"
P 0.000 0.000 0.000
S 0.000 2.318 0.000
S 2.318 0.000 0.000
Rh 2.318 2.318 1.576
N 0.000 0.000 1.576
```

Output
Density = 5.199 g cm⁻³
Raw formation energy = 0.65 eV per atom
Size of the total moment = 0.000 μB per atom
SG = P4/mmm

---

# 18
# PRhS2N

A relaxed PRhS2N crystal (PBE, Alexandria).

```
5
Lattice="4.129 0.000 0.000 0.000 4.129 0.000 0.000 0.000 3.905" Properties=species:S:1:pos:R:3 pbc="T T T"
P 0.000 0.000 1.952
S 0.000 2.064 0.000
S 2.064 0.000 0.000
Rh 2.064 2.064 1.952
N 0.000 0.000 0.000
```

Output
Density = 5.289 g cm⁻³
Raw formation energy = 1.04 eV per atom
Size of the total moment = 0.000 μB per atom
SG = P4/mmm

---

# 19
# PRhS2N

A relaxed PRhS2N crystal (PBE, Alexandria).

```
5
Lattice="-0.498 4.483 0.918 -3.674 -0.943 2.607 2.670 -0.441 3.603" Properties=species:S:1:pos:R:3 pbc="T T T"
P 1.335 -0.221 1.802
S -1.837 -0.471 1.304
S -0.249 2.241 0.459
Rh 0.000 0.000 0.000
N -0.751 1.549 3.564
```

Output
Density = 3.688 g cm⁻³
Raw formation energy = 1.76 eV per atom
Size of the total moment = 0.000 μB per atom
SG = P4/mmm

---

# 20
# PRhS2N

A relaxed PRhS2N crystal (PBE, Alexandria).

```
5
Lattice="-0.575 -0.669 4.727 2.390 -4.162 -0.298 3.113 1.743 0.625" Properties=species:S:1:pos:R:3 pbc="T T T"
P 2.464 -1.544 2.527
S 1.195 -2.081 -0.149
S -0.287 -0.334 2.363
Rh 0.000 0.000 0.000
N 1.556 0.871 0.313
```

Output
Density = 4.205 g cm⁻³
Raw formation energy = 0.85 eV per atom
Size of the total moment = 0.000 μB per atom
SG = P4/mmm